Record 1
Entry from the Alexandria database: a relaxed Sr2TlGaPb2 crystal (PBE).

Properties
Calculated volume = 796.7 Å³/cell

Lattice parameters (Å, degrees): 7.351 14.992 7.229 90.00 90.00 90.00
Space group Ibam (No. 72)
Symmetry-distinct sites (fractional):
Sr: 0.248 0.149 0.000 x8
Tl: 0.000 0.500 0.250 x4
Ga: 0.000 0.000 0.250 x4
Pb: 0.227 0.122 0.500 x8

***

Record 2
Entry from the Alexandria database: a relaxed SrTmGaPb crystal (PBE).

Properties
Calculated volume = 454.5 Å³/cell

Lattice parameters (Å, degrees): 7.689 7.689 7.689 90.00 90.00 90.00
Space group F-43m (No. 216)
Symmetry-distinct sites (fractional):
Sr: 0.000 0.000 0.000 x4
Tm: 0.000 0.000 0.500 x4
Ga: 0.250 0.250 0.750 x4
Pb: 0.250 0.250 0.250 x4

***

Number 1: E -72.79 eV per cell, magnetization 0.00 μB per cell, DOS(E_F) 13.0 states/eV per cell. Number 2: E -57.11 eV per cell, magnetization 0.00 μB per cell, DOS(E_F) 8.4 states/eV per cell.